(1)
An optimized crystal structure of Nb12Al3Os. Source: the Alexandria database, functional PBE-GGA.

Calculated formation energy: -241.6 meV/atom
Uncorrected energy: -9.20 eV per atom
DOS at the Fermi energy: 0.978 states/eV/atom
Total moment: 0.00 Bohr magnetons per cell
SG: Pmmm, No. 47

a = 5.204 Å, b = 5.202 Å, c = 10.370 Å
α = 90.00°, β = 90.00°, γ = 90.00°
Atoms (fractional coordinates):
Nb  0.246  0.500  0.500
Nb  0.500  0.000  0.128
Nb  0.754  0.500  0.500
Nb  0.252  0.500  0.000
Nb  0.500  0.000  0.379
Nb  0.500  0.000  0.621
Nb  0.500  0.000  0.872
Nb  0.000  0.248  0.746
Nb  0.000  0.752  0.746
Nb  0.000  0.752  0.254
Nb  0.000  0.248  0.254
Nb  0.748  0.500  0.000
Os  0.000  0.000  0.500
Al  0.000  0.000  0.000
Al  0.500  0.500  0.248
Al  0.500  0.500  0.752

***

(2)
An optimized crystal structure of Nb2Al2Os. Source: the Alexandria database, functional PBE-GGA.

Calculated formation energy: -177.1 meV/atom
Uncorrected energy: -7.95 eV per atom
DOS at the Fermi energy: 0.733 states/eV/atom
Total moment: 0.00 Bohr magnetons per cell
SG: P4/mbm, No. 127

a = 6.493 Å, b = 6.493 Å, c = 3.870 Å
α = 90.00°, β = 90.00°, γ = 90.00°
Atoms (fractional coordinates):
Nb  0.833  0.333  0.500
Nb  0.333  0.167  0.500
Nb  0.167  0.667  0.500
Nb  0.667  0.833  0.500
Al  0.138  0.362  0.000
Al  0.862  0.638  0.000
Al  0.362  0.862  0.000
Al  0.638  0.138  0.000
Os  0.500  0.500  0.000
Os  0.000  0.000  0.000

***

(3)
An optimized crystal structure of NbAlOs2. Source: the Alexandria database, functional PBE-GGA.

Calculated formation energy: 551.3 meV/atom
Uncorrected energy: -8.52 eV per atom
DOS at the Fermi energy: 1.050 states/eV/atom
Total moment: 0.00 Bohr magnetons per cell
SG: I-42d, No. 122

a = 6.981 Å, b = 6.981 Å, c = 5.644 Å
α = 51.80°, β = 51.80°, γ = 90.00°
Atoms (fractional coordinates):
Os  0.375  0.380  0.750
Os  0.130  0.625  0.250
Os  0.620  0.125  0.250
Os  0.875  0.870  0.750
Nb  0.000  0.000  0.000
Nb  0.750  0.250  0.500
Al  0.250  0.750  0.500
Al  0.500  0.500  0.000

***

(4)
An optimized crystal structure of NbAl2Os3. Source: the Alexandria database, functional PBE-GGA.

Calculated formation energy: -389.7 meV/atom
Uncorrected energy: -8.93 eV per atom
DOS at the Fermi energy: 0.793 states/eV/atom
Total moment: 0.00 Bohr magnetons per cell
SG: P4/mmm, No. 123

a = 3.116 Å, b = 3.116 Å, c = 9.074 Å
α = 90.00°, β = 90.00°, γ = 90.00°
Atoms (fractional coordinates):
Os  0.000  0.000  0.000
Os  0.000  0.000  0.327
Os  0.000  0.000  0.673
Al  0.500  0.500  0.157
Al  0.500  0.500  0.843
Nb  0.500  0.500  0.500

***

(5)
An optimized crystal structure of NbAl3Os. Source: the Alexandria database, functional PBE-GGA.

Calculated formation energy: 512.3 meV/atom
Uncorrected energy: -5.99 eV per atom
DOS at the Fermi energy: 0.729 states/eV/atom
Total moment: 2.52 Bohr magnetons per cell
Relative energy among the computed polymorphs: 0 meV/atom
SG: Pm-3m, No. 221

a = 4.645 Å, b = 4.645 Å, c = 4.645 Å
α = 90.00°, β = 90.00°, γ = 90.00°
Site moments in Bohr magnetons follow the coordinates.
Atoms (fractional coordinates):
Nb  0.500  0.500  0.500  1.98
Al  0.500  0.000  0.000  -0.01
Al  0.000  0.500  0.000  -0.02
Al  0.000  0.000  0.500  -0.03
Os  0.000  0.000  0.000  0.20

***

(6)
An optimized crystal structure of NbAl2Os. Source: the Alexandria database, functional PBE-GGA.

Calculated formation energy: -173.9 meV/atom
Uncorrected energy: -7.37 eV per atom
DOS at the Fermi energy: 0.621 states/eV/atom
Total moment: 1.49 Bohr magnetons per cell
Relative energy among the computed polymorphs: 175 meV/atom
SG: Fm-3m, No. 225

a = 4.415 Å, b = 4.415 Å, c = 4.415 Å
α = 60.00°, β = 60.00°, γ = 60.00°
Site moments in Bohr magnetons follow the coordinates.
Atoms (fractional coordinates):
Al  0.250  0.250  0.250  0.01
Al  0.750  0.750  0.750  0.01
Nb  0.000  0.000  0.000  1.16
Os  0.500  0.500  0.500  0.05

***

(7)
An optimized crystal structure of NbAlOs. Source: the Alexandria database, functional PBE-GGA.

Calculated formation energy: -29.5 meV/atom
Uncorrected energy: -8.38 eV per atom
DOS at the Fermi energy: 0.599 states/eV/atom
Total moment: 0.00 Bohr magnetons per cell
SG: Immm, No. 71

a = 4.377 Å, b = 5.354 Å, c = 5.354 Å
α = 101.10°, β = 65.88°, γ = 65.88°
Atoms (fractional coordinates):
Nb  0.000  0.169  0.831
Nb  0.000  0.831  0.169
Al  0.500  0.348  0.652
Al  0.500  0.652  0.348
Os  0.754  0.746  0.746
Os  0.246  0.254  0.254

***

(8)
An optimized crystal structure of NbAlOs3. Source: the Alexandria database, functional PBE-GGA.

Calculated formation energy: 1123.2 meV/atom
Uncorrected energy: -8.38 eV per atom
DOS at the Fermi energy: 0.409 states/eV/atom
Total moment: 0.00 Bohr magnetons per cell
Relative energy among the computed polymorphs: 0 meV/atom
SG: Pm-3m, No. 221

a = 4.377 Å, b = 4.377 Å, c = 4.377 Å
α = 90.00°, β = 90.00°, γ = 90.00°
Atoms (fractional coordinates):
Os  0.500  0.000  0.000
Os  0.000  0.000  0.500
Os  0.000  0.500  0.000
Al  0.000  0.000  0.000
Nb  0.500  0.500  0.500